[1]
The following is a DFT calculation (PBE) of an optimized crystal structure of ZnCd7.

* energy above the most stable polymorph in this dataset: 0.00 kcal/mol of atoms
* symmetry: I4/mmm, No. 139
* DFT formation energy: 0.32 eV/f.u.

CIF file:
```
data_ZnCd7
_chemical_formula_sum 'Zn1 Cd7'
_symmetry_space_group_name_H-M 'P 1'
_symmetry_Int_Tables_number 1
_symmetry_space_group_name_Hall 'P 1'
_cell_length_a 4.415
_cell_length_b 4.415
_cell_length_c 9.492
_cell_angle_alpha 103.45
_cell_angle_beta 103.45
_cell_angle_gamma 90.00
loop_
_atom_site_label
_atom_site_type_symbol
_atom_site_fract_x
_atom_site_fract_y
_atom_site_fract_z
Zn1 Zn 0.000 0.000 0.000
Cd1 Cd 0.879 0.379 0.758
Cd2 Cd 0.751 0.751 0.502
Cd3 Cd 0.621 0.121 0.242
Cd4 Cd 0.500 0.500 0.000
Cd5 Cd 0.379 0.879 0.758
Cd6 Cd 0.249 0.249 0.498
Cd7 Cd 0.121 0.621 0.242
```



[2]
The following is a DFT calculation (PBE) of an optimized crystal structure of Zn6Cd.

* energy above the most stable polymorph in this dataset: 9.33 kcal/mol of atoms
* symmetry: Im-3m, No. 229
* DFT formation energy: 3.25 eV/f.u.

CIF file:
```
data_Zn6Cd
_chemical_formula_sum 'Zn6 Cd1'
_symmetry_space_group_name_H-M 'P 1'
_symmetry_Int_Tables_number 1
_symmetry_space_group_name_Hall 'P 1'
_cell_length_a 6.101
_cell_length_b 6.101
_cell_length_c 6.101
_cell_angle_alpha 109.47
_cell_angle_beta 109.47
_cell_angle_gamma 109.47
loop_
_atom_site_label
_atom_site_type_symbol
_atom_site_fract_x
_atom_site_fract_y
_atom_site_fract_z
Zn1 Zn 0.250 0.750 0.500
Zn2 Zn 0.500 0.750 0.250
Zn3 Zn 0.250 0.500 0.750
Zn4 Zn 0.750 0.250 0.500
Zn5 Zn 0.500 0.250 0.750
Zn6 Zn 0.750 0.500 0.250
Cd1 Cd 0.000 0.000 0.000
```



no.,raw total energy (eV per atom)
1,-0.920
2,-0.758